# TaTlW

A relaxed TaTlW crystal (PBE, Alexandria).

It has space group P3m1 (No. 156), with a = 4.7431 Å, b = 4.7431 Å, c = 2.8994 Å, α = 90.00°, β = 90.00° and γ = 120.00°. The inequivalent atoms are Ta at (0.0000, 0.0000, 0.0000), Tl at (0.6667, 0.3333, 0.3867) and W at (0.3333, 0.6667, 0.7280).

The calculated formation energy comes out at 620 meV per atom. For the calculated total energy, the calculation gives -8.438 eV per atom. The magnetization comes out at 0.000 Bohr magnetons per cell. The calculation puts the energy above the most stable polymorph in this dataset at 0.253 eV/atom. The crystal system is trigonal.